Below is a relaxed CsRh3O crystal, with properties calculated at the PBE level.

Cell: 4.4241 4.4241 4.4241 Å, 90.00 90.00 90.00°
With the nearest neighbours (Å) after each atom.
Sites, in units of the cell vectors:
Cs: 0.0000 0.0000 0.0000  12 Rh 3.13
Rh: 0.0000 0.5000 0.5000  2 O 2.21
Rh: 0.5000 0.0000 0.5000  2 O 2.21
Rh: 0.5000 0.5000 0.0000  2 O 2.21
O: 0.5000 0.5000 0.5000  6 Rh 2.21

Output
spin magnetization = 1.774 μB/f.u.
space-group type = No. 221
energy above the lowest structure with this stoichiometry = 0.00 kcal/mol of atoms